PBEsol Ca2Al2Sn2O9, relaxed; magnetization = 0.00 μB/f.u.; DOS(E_F) = 0.00 states/eV/cell; ΔE_f (raw) = -2.57 eV/atom; SG = Pbcn
1.0
-2.513 4.142 2.621
-5.445 -5.878 4.069
9.736 -1.221 11.264
Ca O Al Sn
8 36 8 8
Direct
0.137 0.433 0.646
0.863 0.433 0.146
0.863 0.567 0.354
0.137 0.567 0.854
0.637 0.067 0.646
0.637 0.933 0.854
0.363 0.933 0.354
0.363 0.067 0.146
0.465 0.166 0.772
0.419 0.727 0.928
0.725 0.016 0.426
0.535 0.834 0.228
0.535 0.166 0.272
0.419 0.273 0.572
0.081 0.773 0.428
0.808 0.839 0.591
0.725 0.984 0.074
0.192 0.161 0.409
0.225 0.484 0.426
0.581 0.727 0.428
0.969 0.000 0.750
0.531 0.500 0.250
0.469 0.500 0.750
0.081 0.227 0.072
0.692 0.661 0.091
0.808 0.161 0.909
0.775 0.484 0.926
0.692 0.339 0.409
0.275 0.016 0.926
0.035 0.666 0.228
0.965 0.666 0.728
0.465 0.834 0.728
0.308 0.661 0.591
0.581 0.273 0.072
0.919 0.227 0.572
0.308 0.339 0.909
0.775 0.516 0.574
0.225 0.516 0.074
0.035 0.334 0.272
0.275 0.984 0.574
0.919 0.773 0.928
0.031 0.000 0.250
0.965 0.334 0.772
0.192 0.839 0.091
0.810 0.844 0.471
0.310 0.656 0.471
0.690 0.344 0.529
0.190 0.844 0.971
0.190 0.156 0.529
0.810 0.156 0.029
0.690 0.656 0.971
0.310 0.344 0.029
0.634 0.345 0.834
0.134 0.845 0.666
0.866 0.845 0.166
0.366 0.345 0.334
0.366 0.655 0.166
0.634 0.655 0.666
0.866 0.155 0.334
0.134 0.155 0.834


PBEsol Cd2InHg, relaxed; energy relative to the elements = 5 meV/atom; magnetization = 0.00 μB/f.u.; DOS(E_F) = 1.16 states/eV/cell; SG = I-4m2; offset from the most stable computed form = 1.4 meV/atom
1.0
-1.173 1.493 4.002
-1.793 -3.939 0.944
5.439 -0.175 -0.792
Cd In Hg
2 1 1
Direct
0.000 0.000 0.000
0.750 0.250 0.500
0.250 0.750 0.500
0.500 0.500 0.000


PBEsol CdReRu3, relaxed; energy relative to the elements = 1588 meV/atom; magnetization = 0.00 μB/f.u.; DOS(E_F) = 6.63 states/eV/cell; SG = Pm-3m
1.0
-4.233 -1.618 0.860
1.596 -4.320 -0.271
0.900 0.049 4.524
Cd Ru Re
1 3 1
Direct
0.500 0.500 0.500
0.000 0.500 0.000
0.000 0.000 0.500
0.500 0.000 0.000
0.000 0.000 0.000


PBEsol AsRhPb2, relaxed; energy relative to the elements = 260 meV/atom; magnetization = 0.00 μB/f.u.; DOS(E_F) = 2.97 states/eV/cell; SG = Cmmm
1.0
-0.491 -2.204 -2.673
4.262 -2.241 1.067
-2.909 -2.792 2.840
Pb As Rh
2 1 1
Direct
0.000 0.000 0.500
0.000 0.500 0.000
0.500 0.000 0.000
0.500 0.500 0.500


PBEsol TcAuF2, relaxed; magnetization = 4.34 μB/f.u.; DOS(E_F) = 2.44 states/eV/cell; ΔE_f (raw) = 0.02 eV/atom; SG = Fm-3m
1.0
4.252 0.000 0.000
2.126 3.682 0.000
2.126 1.227 3.472
F Au Tc
2 1 1
Direct
0.750 0.750 0.750
0.250 0.250 0.250
0.500 0.500 0.500
0.000 0.000 0.000


PBEsol SbTe2Pb, relaxed; magnetization = 0.00 μB/f.u.; DOS(E_F) = 2.04 states/eV/cell; ΔE_f (raw) = 0.02 eV/atom; SG = P4mm
1.0
3.813 0.000 0.000
0.000 3.813 0.000
0.000 0.000 8.319
Pb Sb Te
1 1 2
Direct
0.000 0.000 0.478
0.500 0.500 0.786
0.500 0.500 0.282
0.000 0.000 0.954


PBEsol MgInB3, relaxed; energy relative to the elements = 2049 meV/atom; magnetization = 0.00 μB/f.u.; DOS(E_F) = 2.47 states/eV/cell; SG = Pm-3m
1.0
4.455 0.000 0.000
0.000 4.455 0.000
0.000 0.000 4.455
Mg B In
1 3 1
Direct
0.500 0.500 0.500
0.000 0.000 0.500
0.000 0.500 0.000
0.500 0.000 0.000
0.000 0.000 0.000


PBEsol YP2PbCl, relaxed; magnetization = 0.00 μB/f.u.; DOS(E_F) = 3.97 states/eV/cell; ΔE_f (raw) = -0.21 eV/atom; SG = P4/mmm
1.0
5.055 0.000 0.000
0.000 5.226 0.000
0.000 0.000 5.226
P Y Pb Cl
2 1 1 1
Direct
0.000 0.000 0.500
0.000 0.500 0.000
0.000 0.000 0.000
0.500 0.500 0.500
0.500 0.000 0.000